Below is DyZnInSe3 after structural relaxation, with properties calculated at the PBE level.

Output
For the energy relative to the lowest polymorph listed for this composition, the calculation gives 0.0 meV per atom.

```
data_DyZnInSe3
_chemical_formula_sum 'Dy4 Zn4 In4 Se12'
_cell_length_a 10.9315
_cell_length_b 4.1095
_cell_length_c 14.5818
_cell_angle_alpha 90.00
_cell_angle_beta 90.00
_cell_angle_gamma 90.00
_symmetry_space_group_name_H-M 'P 1'
_symmetry_Int_Tables_number 1
loop_
_symmetry_equiv_pos_as_xyz
'x,y,z'
loop_
_atom_site_label
_atom_site_type_symbol
_atom_site_fract_x
_atom_site_fract_y
_atom_site_fract_z
Dy1 Dy 0.0091 0.2500 0.2457
Dy2 Dy 0.4909 0.7500 0.7457
Dy3 Dy 0.5091 0.2500 0.2543
Dy4 Dy 0.9909 0.7500 0.7543
Zn1 Zn 0.2420 0.2500 0.7134
Zn2 Zn 0.2580 0.7500 0.2134
Zn3 Zn 0.7420 0.2500 0.7866
Zn4 Zn 0.7580 0.7500 0.2866
In1 In 0.2308 0.7500 0.5016
In2 In 0.2692 0.2500 0.0016
In3 In 0.7308 0.7500 0.9984
In4 In 0.7692 0.2500 0.4984
Se1 Se 0.0514 0.2500 0.6228
Se2 Se 0.0738 0.7500 0.1170
Se3 Se 0.2426 0.7500 0.8180
Se4 Se 0.2574 0.2500 0.3180
Se5 Se 0.4262 0.2500 0.6170
Se6 Se 0.4486 0.7500 0.1228
Se7 Se 0.5514 0.2500 0.8772
Se8 Se 0.5738 0.7500 0.3830
Se9 Se 0.7426 0.7500 0.6820
Se10 Se 0.7574 0.2500 0.1820
Se11 Se 0.9262 0.2500 0.8830
Se12 Se 0.9486 0.7500 0.3772
```


Below is DyInSi after structural relaxation, with properties calculated at the PBE level.

```
data_DyInSi
_chemical_formula_sum 'Dy1 In1 Si1'
_cell_length_a 4.7090
_cell_length_b 4.7090
_cell_length_c 4.7090
_cell_angle_alpha 60.00
_cell_angle_beta 60.00
_cell_angle_gamma 60.00
_symmetry_space_group_name_H-M 'P 1'
_symmetry_Int_Tables_number 1
loop_
_symmetry_equiv_pos_as_xyz
'x,y,z'
loop_
_atom_site_label
_atom_site_type_symbol
_atom_site_fract_x
_atom_site_fract_y
_atom_site_fract_z
Dy1 Dy 0.0000 0.0000 0.0000
In1 In 0.5000 0.5000 0.5000
Si1 Si 0.2500 0.2500 0.2500
```


Below is Dy11In6Si4 after structural relaxation, with properties calculated at the PBE level.

```
data_Dy11In6Si4
_chemical_formula_sum 'Dy22 In12 Si8'
_cell_length_a 11.4606
_cell_length_b 11.4606
_cell_length_c 11.4606
_cell_angle_alpha 119.90
_cell_angle_beta 119.90
_cell_angle_gamma 90.18
_symmetry_space_group_name_H-M 'P 1'
_symmetry_Int_Tables_number 1
loop_
_symmetry_equiv_pos_as_xyz
'x,y,z'
loop_
_atom_site_label
_atom_site_type_symbol
_atom_site_fract_x
_atom_site_fract_y
_atom_site_fract_z
Dy1 Dy 0.0649 0.3150 0.7499
Dy2 Dy 0.1010 0.4488 0.3479
Dy3 Dy 0.1010 0.7531 0.6521
Dy4 Dy 0.1686 0.1686 0.0000
Dy5 Dy 0.2469 0.8990 0.3479
Dy6 Dy 0.3150 0.0649 0.7499
Dy7 Dy 0.3150 0.5651 0.2501
Dy8 Dy 0.3334 0.3334 0.6668
Dy9 Dy 0.3334 0.6666 0.0000
Dy10 Dy 0.4349 0.6850 0.7499
Dy11 Dy 0.4488 0.1010 0.3479
Dy12 Dy 0.5512 0.8990 0.6521
Dy13 Dy 0.5651 0.3150 0.2501
Dy14 Dy 0.6666 0.3334 0.0000
Dy15 Dy 0.6666 0.6666 0.3332
Dy16 Dy 0.6850 0.4349 0.7499
Dy17 Dy 0.6850 0.9351 0.2501
Dy18 Dy 0.7531 0.1010 0.6521
Dy19 Dy 0.8314 0.8314 0.0000
Dy20 Dy 0.8990 0.2469 0.3479
Dy21 Dy 0.8990 0.5512 0.6521
Dy22 Dy 0.9351 0.6850 0.2501
In1 In 0.0351 0.0351 0.4121
In2 In 0.0351 0.6231 0.0000
In3 In 0.1289 0.1289 0.2577
In4 In 0.1289 0.8711 0.0000
In5 In 0.3769 0.3769 0.4121
In6 In 0.3769 0.9649 0.0000
In7 In 0.6231 0.0351 0.0000
In8 In 0.6231 0.6231 0.5879
In9 In 0.8711 0.1289 0.0000
In10 In 0.8711 0.8711 0.7423
In11 In 0.9649 0.3769 0.0000
In12 In 0.9649 0.9649 0.5879
Si1 Si 0.1532 0.5000 0.6532
Si2 Si 0.2500 0.7500 0.5000
Si3 Si 0.3804 0.3804 0.0000
Si4 Si 0.5000 0.1532 0.6532
Si5 Si 0.5000 0.8468 0.3468
Si6 Si 0.6196 0.6196 0.0000
Si7 Si 0.7500 0.2500 0.5000
Si8 Si 0.8468 0.5000 0.3468
```


Below is DyInSi after structural relaxation, with properties calculated at the PBE level.

```
data_DyInSi
_chemical_formula_sum 'Dy1 In1 Si1'
_cell_length_a 4.8682
_cell_length_b 4.8682
_cell_length_c 4.8682
_cell_angle_alpha 60.00
_cell_angle_beta 60.00
_cell_angle_gamma 60.00
_symmetry_space_group_name_H-M 'P 1'
_symmetry_Int_Tables_number 1
loop_
_symmetry_equiv_pos_as_xyz
'x,y,z'
loop_
_atom_site_label
_atom_site_type_symbol
_atom_site_fract_x
_atom_site_fract_y
_atom_site_fract_z
Dy1 Dy 0.0000 0.0000 0.0000
In1 In 0.7500 0.7500 0.7500
Si1 Si 0.2500 0.2500 0.2500
```


Below is TbDyIn3Si2 after structural relaxation, with properties calculated at the PBE level.

```
data_TbDyIn3Si2
_chemical_formula_sum 'Tb1 Dy1 In3 Si2'
_cell_length_a 5.7459
_cell_length_b 5.7459
_cell_length_c 6.9929
_cell_angle_alpha 99.28
_cell_angle_beta 99.28
_cell_angle_gamma 43.77
_symmetry_space_group_name_H-M 'P 1'
_symmetry_Int_Tables_number 1
loop_
_symmetry_equiv_pos_as_xyz
'x,y,z'
loop_
_atom_site_label
_atom_site_type_symbol
_atom_site_fract_x
_atom_site_fract_y
_atom_site_fract_z
Tb1 Tb 0.0000 0.0000 0.0000
Dy1 Dy 0.7578 0.7578 0.3369
In1 In 0.0741 0.0741 0.5183
In2 In 0.3787 0.3787 0.6681
In3 In 0.6839 0.6839 0.8185
Si1 Si 0.2862 0.2862 0.0514
Si2 Si 0.4718 0.4718 0.2869
```


Below is Sm5DyIn3 after structural relaxation, with properties calculated at the PBE level.

```
data_Sm5DyIn3
_chemical_formula_sum 'Sm10 Dy2 In6'
_cell_length_a 9.4908
_cell_length_b 9.4908
_cell_length_c 6.8307
_cell_angle_alpha 90.00
_cell_angle_beta 90.00
_cell_angle_gamma 120.00
_symmetry_space_group_name_H-M 'P 1'
_symmetry_Int_Tables_number 1
loop_
_symmetry_equiv_pos_as_xyz
'x,y,z'
loop_
_atom_site_label
_atom_site_type_symbol
_atom_site_fract_x
_atom_site_fract_y
_atom_site_fract_z
Sm1 Sm 0.0000 0.3355 0.2500
Sm2 Sm 0.0000 0.6645 0.7500
Sm3 Sm 0.3333 0.6667 0.0000
Sm4 Sm 0.3333 0.6667 0.5000
Sm5 Sm 0.3355 0.0000 0.2500
Sm6 Sm 0.3355 0.3355 0.7500
Sm7 Sm 0.6645 0.0000 0.7500
Sm8 Sm 0.6645 0.6645 0.2500
Sm9 Sm 0.6667 0.3333 0.0000
Sm10 Sm 0.6667 0.3333 0.5000
Dy1 Dy 0.0000 0.0000 0.0000
Dy2 Dy 0.0000 0.0000 0.5000
In1 In 0.0000 0.3290 0.7500
In2 In 0.0000 0.6710 0.2500
In3 In 0.3290 0.0000 0.7500
In4 In 0.3290 0.3290 0.2500
In5 In 0.6710 0.0000 0.2500
In6 In 0.6710 0.6710 0.7500
```


no.,calculated volume (Å³/cell),electronic total energy (eV/atom)
1,655.1,-4.2514
2,73.8,-4.4147
3,1066.1,-4.8285
4,81.6,-4.2165
5,157.3,-4.4776
6,532.8,-4.3930